[1]
A relaxed structure of V2ZnGaIr. Source: the Alexandria database, functional GGA-PBE.

Properties
* E: -25.5 eV per cell
* volume: 84.2 Å³ per cell
* ΔE_f: 1.188 eV per atom

a = 4.445 Å, b = 4.445 Å, c = 4.260 Å
α = 90.00°, β = 90.00°, γ = 90.00°
Sites, in units of the cell vectors:
V 0.000 0.500 0.000
V 0.500 0.000 0.000
Zn 0.000 0.000 0.000
Ga 0.000 0.000 0.500
Ir 0.500 0.500 0.500

***

[2]
A relaxed structure of RbBPt3. Source: the Alexandria database, functional GGA-PBE.

Properties
* E: -10.7 eV per cell
* volume: 135.7 Å³ per cell
* ΔE_f: 3.014 eV per atom

a = 5.138 Å, b = 5.138 Å, c = 5.138 Å
α = 90.00°, β = 90.00°, γ = 90.00°
Sites, in units of the cell vectors:
Rb 0.000 0.000 0.000
B 0.500 0.500 0.500
Pt 0.000 0.000 0.500
Pt 0.000 0.500 0.000
Pt 0.500 0.000 0.000

***

[3]
A relaxed structure of CdReSe2. Source: the Alexandria database, functional GGA-PBE.

Properties
* ΔE_f (raw): 0.53 eV per atom
* relative energy among the computed polymorphs: 0.5165 eV/atom
* E: -18.2 eV per cell
* volume: 78.9 Å³ per cell

a = 4.351 Å, b = 3.374 Å, c = 5.376 Å
α = 90.00°, β = 90.56°, γ = 90.00°
Sites, in units of the cell vectors:
Cd 0.000 0.000 0.000
Re 0.500 0.500 0.500
Se 0.000 0.000 0.500
Se 0.500 0.500 0.000

***

[4]
A relaxed structure of HoTlH. Source: the Alexandria database, functional GGA-PBE.

Properties
* relative energy among the computed polymorphs: 0.2794 eV/atom
* E: -10.7 eV per cell
* volume: 60.7 Å³ per cell

a = 6.279 Å, b = 6.279 Å, c = 6.279 Å
α = 150.27°, β = 150.27°, γ = 42.55°
Sites, in units of the cell vectors:
Ho 0.000 0.000 0.000
Tl 0.271 0.271 0.000
H 0.533 0.533 0.000